# PBE AcLa2Sc, relaxed
data_AcLa2Sc
_chemical_formula_sum 'Ac3 La6 Sc3'
_symmetry_space_group_name_H-M 'R 3 m'
_symmetry_Int_Tables_number 160
_symmetry_space_group_name_Hall 'R 3 -2"'
_cell_length_a 3.7216
_cell_length_b 3.7216
_cell_length_c 35.6863
_cell_angle_alpha 90.00
_cell_angle_beta 90.00
_cell_angle_gamma 120.00
loop_
_atom_site_label
_atom_site_type_symbol
_atom_site_fract_x
_atom_site_fract_y
_atom_site_fract_z
Ac1 Ac 0.0000 0.0000 0.0000
La1 La 0.0000 0.0000 0.2416
La2 La 0.0000 0.0000 0.4226
Sc1 Sc 0.0000 0.0000 0.8321
# E_form = 0.099 eV/atom
# final energy = -4.975 eV/atom
# theoretical density = 6.4 Mg/m³
# total magnetization = 0.00 μB/cell
# volume = 35.671 Å³ per atom